No. 1
Computed, not measured: a geometry-optimized NdY2Ho2 structure at the PBE-GGA level of DFT.

CIF file:
```
data_NdY2Ho2
_cell_length_a 9.4054
_cell_length_b 9.4054
_cell_length_c 3.7404
_cell_angle_alpha 90.00
_cell_angle_beta 90.00
_cell_angle_gamma 90.00
_symmetry_space_group_name_H-M 'P 4/m b m'
_symmetry_Int_Tables_number 127
_symmetry_space_group_name_Hall '-P 4 2ab'
loop_
_atom_site_label
_atom_site_type_symbol
_atom_site_fract_x
_atom_site_fract_y
_atom_site_fract_z
Nd1 Nd 0.0000 0.0000 0.0000
Y1 Y 0.1722 0.3278 0.5000
Ho1 Ho 0.1246 0.6246 0.0000
```

Computed properties:
Total energy, eV/cell: -52.86
E above lowest polymorph, eV per atom: 0.000
Spin magnetization, μB/f.u.: 0.00

=====

No. 2
Computed, not measured: a geometry-optimized Nd2Y3Ho4 structure at the PBE-GGA level of DFT.

CIF file:
```
data_Nd2Y3Ho4
_cell_length_a 16.3254
_cell_length_b 11.6400
_cell_length_c 6.1599
_cell_angle_alpha 90.00
_cell_angle_beta 96.14
_cell_angle_gamma 90.00
_symmetry_space_group_name_H-M 'C 1 2/c 1'
_symmetry_Int_Tables_number 15
loop_
_symmetry_equiv_pos_as_xyz
'x,y,z'
'-x,-y,-z'
'-x,y,-z+1/2'
'x,-y,z+1/2'
'x+1/2,y+1/2,z'
'-x+1/2,-y+1/2,-z'
'-x+1/2,y+1/2,-z+1/2'
'x+1/2,-y+1/2,z+1/2'
loop_
_atom_site_label
_atom_site_type_symbol
_atom_site_fract_x
_atom_site_fract_y
_atom_site_fract_z
Nd1 Nd 0.1225 0.1446 0.3208
Y1 Y 0.0000 0.0990 0.7500
Y2 Y 0.1647 0.4014 0.5953
Ho1 Ho 0.0466 0.3602 0.0160
Ho2 Ho 0.2162 0.1384 0.8488
```

Computed properties:
Total energy, eV/cell: -185.57
Spin magnetization, μB/f.u.: 0.00

=====

No. 3
Computed, not measured: a geometry-optimized Nd6YHo structure at the PBE-GGA level of DFT.

CIF file:
```
data_Nd6YHo
_cell_length_a 5.1591
_cell_length_b 5.1591
_cell_length_c 10.3200
_cell_angle_alpha 90.00
_cell_angle_beta 90.00
_cell_angle_gamma 90.00
_symmetry_space_group_name_H-M 'P 4/m m m'
_symmetry_Int_Tables_number 123
_symmetry_space_group_name_Hall '-P 4 2'
loop_
_atom_site_label
_atom_site_type_symbol
_atom_site_fract_x
_atom_site_fract_y
_atom_site_fract_z
Nd1 Nd 0.0000 0.0000 0.0000
Nd2 Nd 0.0000 0.0000 0.5000
Nd3 Nd 0.0000 0.5000 0.2489
Y1 Y 0.5000 0.5000 0.5000
Ho1 Ho 0.5000 0.5000 0.0000
```

Computed properties:
Total energy, eV/cell: -39.54
Spin magnetization, μB/f.u.: 0.00

=====

No. 4
Computed, not measured: a geometry-optimized NdY3Ho4 structure at the PBE-GGA level of DFT.

CIF file:
```
data_NdY3Ho4
_cell_length_a 23.5553
_cell_length_b 3.4600
_cell_length_c 6.7081
_cell_angle_alpha 90.00
_cell_angle_beta 106.53
_cell_angle_gamma 90.00
_symmetry_space_group_name_H-M 'C 1 2/m 1'
_symmetry_Int_Tables_number 12
loop_
_symmetry_equiv_pos_as_xyz
'x,y,z'
'-x,-y,-z'
'-x,y,-z'
'x,-y,z'
'x+1/2,y+1/2,z'
'-x+1/2,-y+1/2,-z'
'-x+1/2,y+1/2,-z'
'x+1/2,-y+1/2,z'
loop_
_atom_site_label
_atom_site_type_symbol
_atom_site_fract_x
_atom_site_fract_y
_atom_site_fract_z
Nd1 Nd 0.0000 0.0000 0.0000
Y1 Y 0.0000 0.5000 0.5000
Y2 Y 0.1273 0.5000 0.8834
Ho1 Ho 0.1257 0.5000 0.3706
Ho2 Ho 0.2399 0.0000 0.2461
```

Computed properties:
Total energy, eV/cell: -82.12
E above lowest polymorph, eV per atom: 0.169
Spin magnetization, μB/f.u.: 0.00

=====

No. 5
Computed, not measured: a geometry-optimized Nd7Y2Ho structure at the PBE-GGA level of DFT.

CIF file:
```
data_Nd7Y2Ho
_cell_length_a 8.6945
_cell_length_b 17.4841
_cell_length_c 5.4675
_cell_angle_alpha 90.00
_cell_angle_beta 90.00
_cell_angle_gamma 90.00
_symmetry_space_group_name_H-M 'C m m m'
_symmetry_Int_Tables_number 65
_symmetry_space_group_name_Hall '-C 2 2'
loop_
_atom_site_label
_atom_site_type_symbol
_atom_site_fract_x
_atom_site_fract_y
_atom_site_fract_z
Nd1 Nd 0.0000 0.0000 0.0000
Nd2 Nd 0.0000 0.2998 0.5000
Nd3 Nd 0.1801 0.3916 0.0000
Y1 Y 0.0000 0.2078 0.0000
Ho1 Ho 0.0000 0.5000 0.5000
```

Computed properties:
Total energy, eV/cell: -88.90
E above lowest polymorph, eV per atom: 0.255
Spin magnetization, μB/f.u.: 0.00

=====

No. 6
Computed, not measured: a geometry-optimized NdYHo5 structure at the PBE-GGA level of DFT.

CIF file:
```
data_NdYHo5
_cell_length_a 11.6698
_cell_length_b 6.7643
_cell_length_c 12.1453
_cell_angle_alpha 90.00
_cell_angle_beta 109.78
_cell_angle_gamma 90.00
_symmetry_space_group_name_H-M 'C 1 2/c 1'
_symmetry_Int_Tables_number 15
loop_
_symmetry_equiv_pos_as_xyz
'x,y,z'
'-x,-y,-z'
'-x,y,-z+1/2'
'x,-y,z+1/2'
'x+1/2,y+1/2,z'
'-x+1/2,-y+1/2,-z'
'-x+1/2,y+1/2,-z+1/2'
'x+1/2,-y+1/2,z+1/2'
loop_
_atom_site_label
_atom_site_type_symbol
_atom_site_fract_x
_atom_site_fract_y
_atom_site_fract_z
Nd1 Nd 0.0000 0.0276 0.2500
Y1 Y 0.2500 0.2500 0.0000
Ho1 Ho 0.0000 0.4108 0.7500
Ho2 Ho 0.0786 0.2704 0.4997
Ho3 Ho 0.2198 0.3636 0.2490
```

Computed properties:
Total energy, eV/cell: -131.18
Spin magnetization, μB/f.u.: 0.00

=====

No. 7
Computed, not measured: a geometry-optimized Nd2Y7Ho3 structure at the PBE-GGA level of DFT.

CIF file:
```
data_Nd2Y7Ho3
_cell_length_a 5.8120
_cell_length_b 3.6053
_cell_length_c 18.7767
_cell_angle_alpha 90.00
_cell_angle_beta 93.71
_cell_angle_gamma 90.00
_symmetry_space_group_name_H-M 'P 1 2/m 1'
_symmetry_Int_Tables_number 10
loop_
_symmetry_equiv_pos_as_xyz
'x,y,z'
'-x,-y,-z'
'-x,y,-z'
'x,-y,z'
loop_
_atom_site_label
_atom_site_type_symbol
_atom_site_fract_x
_atom_site_fract_y
_atom_site_fract_z
Nd1 Nd 0.2074 0.0000 0.2945
Y1 Y 0.1815 0.5000 0.1420
Y2 Y 0.2419 0.0000 0.4624
Y3 Y 0.3149 0.0000 0.8232
Y4 Y 0.5000 0.5000 0.0000
Ho1 Ho 0.0000 0.0000 0.0000
Ho2 Ho 0.2774 0.5000 0.6309
```

Computed properties:
Total energy, eV/cell: -67.45
E above lowest polymorph, eV per atom: 0.000
Spin magnetization, μB/f.u.: 0.00

=====

No. 8
Computed, not measured: a geometry-optimized Nd3Y2Ho8 structure at the PBE-GGA level of DFT.

CIF file:
```
data_Nd3Y2Ho8
_cell_length_a 7.9397
_cell_length_b 5.0335
_cell_length_c 11.1770
_cell_angle_alpha 90.00
_cell_angle_beta 98.47
_cell_angle_gamma 90.00
_symmetry_space_group_name_H-M 'P 1 2/m 1'
_symmetry_Int_Tables_number 10
loop_
_symmetry_equiv_pos_as_xyz
'x,y,z'
'-x,-y,-z'
'-x,y,-z'
'x,-y,z'
loop_
_atom_site_label
_atom_site_type_symbol
_atom_site_fract_x
_atom_site_fract_y
_atom_site_fract_z
Nd1 Nd 0.0000 0.0000 0.0000
Nd2 Nd 0.2828 0.5000 0.9288
Y1 Y 0.2996 0.0000 0.4272
Ho1 Ho 0.1405 0.0000 0.7139
Ho2 Ho 0.1491 0.5000 0.2205
Ho3 Ho 0.4240 0.5000 0.6411
Ho4 Ho 0.4326 0.0000 0.1496
```

Computed properties:
Total energy, eV/cell: -61.75
E above lowest polymorph, eV per atom: 0.139
Spin magnetization, μB/f.u.: 0.00

=====

No. 9
Computed, not measured: a geometry-optimized Nd2Y7Ho2 structure at the PBE-GGA level of DFT.

CIF file:
```
data_Nd2Y7Ho2
_cell_length_a 11.2181
_cell_length_b 11.6846
_cell_length_c 6.0760
_cell_angle_alpha 90.00
_cell_angle_beta 113.12
_cell_angle_gamma 90.00
_symmetry_space_group_name_H-M 'C 1 2/m 1'
_symmetry_Int_Tables_number 12
loop_
_symmetry_equiv_pos_as_xyz
'x,y,z'
'-x,-y,-z'
'-x,y,-z'
'x,-y,z'
'x+1/2,y+1/2,z'
'-x+1/2,-y+1/2,-z'
'-x+1/2,y+1/2,-z'
'x+1/2,-y+1/2,z'
loop_
_atom_site_label
_atom_site_type_symbol
_atom_site_fract_x
_atom_site_fract_y
_atom_site_fract_z
Nd1 Nd 0.0000 0.2115 0.0000
Y1 Y 0.0000 0.0000 0.5000
Y2 Y 0.0920 0.5000 0.3063
Y3 Y 0.1731 0.2379 0.6764
Ho1 Ho 0.2328 0.0000 0.0837
```

Computed properties:
Total energy, eV/cell: -124.40
E above lowest polymorph, eV per atom: 0.050
Spin magnetization, μB/f.u.: 0.00

=====

Listing energy of formation from the pure elements for the structures above in their given order: 0.08, 0.09, 0.01, 0.18, 0.64, 0.19, 0.09, 0.16, 0.16 eV/atom.